(1)
Here is a crystal of LaZn2Br relaxed with PBEsol from Alexandria. Energies are from SCAN.

Lattice parameters (Å, degrees): 5.3435 5.3435 5.3435 128.95 128.95 75.09
Last column: nearest neighbours and their distance in Å.
Fractional positions:
La 0.0000 0.0000 0.0000  4 Br 3.13, 8 Zn 3.13-3.26
Zn 0.5000 0.5000 0.0000  4 Br 3.13, 4 Zn 3.13, 4 La 3.26
Zn 0.7500 0.2500 0.5000  4 Zn 3.13, 4 La 3.13, 4 Br 3.26
Br 0.2500 0.7500 0.5000  8 Zn 3.13-3.26, 4 La 3.13

## Properties
Spin magnetization = 0.00 μB per cell
Polymorph energy (0 for the lowest one) = 0 meV/atom
Raw formation energy = -0.4935 eV per atom

(2)
Here is a crystal of La2ZnBr relaxed with PBEsol from Alexandria. Energies are from SCAN.

Lattice parameters (Å, degrees): 3.6463 3.6915 8.5339 90.00 90.19 90.00
Last column: nearest neighbours and their distance in Å.
Fractional positions:
La 0.0013 0.0000 0.2114  2 Br 3.08, 4 Zn 3.16
La 0.9987 0.0000 0.7886  2 Br 3.08, 4 Zn 3.16
Zn 0.5000 0.5000 0.0000  8 La 3.16
Br 0.0000 0.5000 0.5000  4 La 3.08

## Properties
Spin magnetization = 0.00 μB per cell
Polymorph energy (0 for the lowest one) = 67 meV/atom
Raw formation energy = -0.8837 eV per atom

(3)
Here is a crystal of LaZrBr4 relaxed with PBEsol from Alexandria. Energies are from SCAN.

Lattice parameters (Å, degrees): 6.1461 6.1461 6.1461 60.00 60.00 60.00
Last column: nearest neighbours and their distance in Å.
Fractional positions:
La 0.0000 0.0000 0.0000  12 Br 3.60, 4 Zr 3.76
Zr 0.2500 0.2500 0.2500  12 Br 3.60, 4 La 3.76
Br 0.1256 0.6248 0.6248  6 Br 3.07-3.08
Br 0.6248 0.1256 0.6248  6 Br 3.07-3.08
Br 0.6248 0.6248 0.1256  6 Br 3.07-3.08
Br 0.6248 0.6248 0.6248  6 Br 3.07-3.08

## Properties
Spin magnetization = 4.44 μB per cell
Raw formation energy = -0.1242 eV per atom

(4)
Here is a crystal of LaZrBr relaxed with PBEsol from Alexandria. Energies are from SCAN.

Lattice parameters (Å, degrees): 3.4749 3.4749 7.4579 90.00 90.00 120.00
Last column: nearest neighbours and their distance in Å.
Fractional positions:
La 0.0000 0.0000 0.0000  3 Zr 3.30, 6 La 3.47, 3 Br 3.51
Zr 0.3333 0.6667 0.6480  3 Br 2.80
Br 0.6667 0.3333 0.3862  3 Zr 2.80

## Properties
Spin magnetization = 0.00 μB per cell
Polymorph energy (0 for the lowest one) = 0 meV/atom
Raw formation energy = -0.6042 eV per atom

Number 1: Fermi-level density of states 1.765 states/eV per cell. Number 2: Fermi-level density of states 2.512 states/eV per cell. Number 3: Fermi-level density of states 6.820 states/eV per cell. Number 4: Fermi-level density of states 1.519 states/eV per cell.